[1]
This record from Alexandria via LeMat-Bulk describes TaCrCl2 after structural relaxation. The functional is GGA-PBE.

```
TaCrCl2
1.0
3.1046 0.0000 0.0000
0.0000 3.4820 0.0000
0.0000 0.0000 6.1735
Ta Cr Cl
1 1 2
Cartesian
0.0000 0.0000 0.0000 Ta
0.0000 0.0000 3.0867 Cr
1.5523 1.7410 1.4542 Cl
1.5523 1.7410 4.7193 Cl
```

Properties
Total magnetic moment   4.09 μB per cell
Energy above the lowest structure with this stoichiometry   3.911 eV/f.u.
Space group   No. 47
VASP energy   -5.711 eV/atom
Uncorrected formation energy   0.5812 eV per atom


[2]
This record from Alexandria via LeMat-Bulk describes LaPmPd after structural relaxation. The functional is GGA-PBE.

```
LaPmPd
1.0
4.8473 0.0000 0.0000
-2.4237 4.1979 0.0000
0.0000 0.0000 4.0998
La Pm Pd
1 1 1
Cartesian
0.0000 0.0000 0.0000 La
0.0000 2.7986 2.3056 Pm
2.4237 1.3993 1.3337 Pd
```

Properties
Total magnetic moment   0.00 μB per cell
Energy above the lowest structure with this stoichiometry   0.364 eV/f.u.
Space group   No. 156
VASP energy   -5.330 eV/atom


[3]
This record from Alexandria via LeMat-Bulk describes PrAl3Hg after structural relaxation. The functional is GGA-PBE.

```
PrAl3Hg
1.0
3.1050 -5.6194 0.0000
3.1050 5.6194 0.0000
0.0000 0.0000 6.2038
Pr Al Hg
2 6 2
Cartesian
3.1050 2.8369 4.6528 Pr
3.1050 -2.8369 1.5509 Pr
1.6663 0.0000 0.0000 Al
1.6663 0.0000 3.1019 Al
3.1050 1.5894 1.5509 Al
3.1050 -1.5894 4.6528 Al
4.5436 0.0000 0.0000 Al
4.5436 0.0000 3.1019 Al
3.1050 4.1556 1.5509 Hg
3.1050 -4.1556 4.6528 Hg
```

Properties
Total magnetic moment   0.00 μB per cell
Space group   No. 63
VASP energy   -3.611 eV/atom